Below is a crystal of CrW2Au relaxed with PBEsol, with properties calculated at the SCAN level.

Calculated values
Its space group is No. 99. The energy relative to the elements is 0.339 eV/atom. The value obtained for the relative energy among the computed polymorphs is 0.071 eV per atom.

a = 2.682 Å, b = 2.682 Å, c = 8.386 Å
α = 90.00°, β = 90.00°, γ = 90.00°
Fractional coordinates of all 4 atoms:
Cr 0.000 0.000 0.000
W 0.000 0.000 0.495
W 0.500 0.500 0.230
Au 0.500 0.500 0.757


Below is a crystal of CrWAu2 relaxed with PBEsol, with properties calculated at the SCAN level.

Calculated values
Its space group is No. 139. The energy relative to the elements is 0.311 eV/atom. The value obtained for the relative energy among the computed polymorphs is 0.000 eV per atom.

a = 4.998 Å, b = 4.998 Å, c = 4.998 Å
α = 135.32°, β = 135.32°, γ = 65.03°
Fractional coordinates of all 4 atoms:
Cr 0.000 0.000 0.000
W 0.500 0.500 0.000
Au 0.250 0.750 0.500
Au 0.750 0.250 0.500


Below is a crystal of CrW2Au relaxed with PBEsol, with properties calculated at the SCAN level.

Calculated values
Its space group is No. 35. The energy relative to the elements is 0.268 eV/atom. The value obtained for the relative energy among the computed polymorphs is 0.000 eV per atom.

a = 2.685 Å, b = 2.685 Å, c = 8.748 Å
α = 90.00°, β = 90.00°, γ = 107.83°
Fractional coordinates of all 4 atoms:
Cr 0.000 0.000 0.000
W 0.000 0.000 0.518
W 0.500 0.500 0.772
Au 0.500 0.500 0.249


Below is a crystal of Cr2WAu relaxed with PBEsol, with properties calculated at the SCAN level.

Calculated values
Its space group is No. 65. The energy relative to the elements is 0.296 eV/atom. The value obtained for the relative energy among the computed polymorphs is 0.000 eV per atom.

a = 2.633 Å, b = 2.633 Å, c = 8.474 Å
α = 90.00°, β = 90.00°, γ = 107.70°
Fractional coordinates of all 4 atoms:
Cr 0.000 0.000 0.240
Cr 0.000 0.000 0.760
W 0.500 0.500 0.000
Au 0.500 0.500 0.500


Below is a crystal of Cr2WAu relaxed with PBEsol, with properties calculated at the SCAN level.

Calculated values
Its space group is No. 166. The energy relative to the elements is 0.400 eV/atom. The value obtained for the relative energy among the computed polymorphs is 0.105 eV per atom.

a = 8.390 Å, b = 8.390 Å, c = 8.390 Å
α = 19.66°, β = 19.66°, γ = 19.66°
Fractional coordinates of all 4 atoms:
Cr 0.244 0.244 0.244
Cr 0.756 0.756 0.756
W 0.500 0.500 0.500
Au 0.000 0.000 0.000


Below is a crystal of CrWAu2 relaxed with PBEsol, with properties calculated at the SCAN level.

Calculated values
Its space group is No. 216. The energy relative to the elements is 0.483 eV/atom. The value obtained for the relative energy among the computed polymorphs is 0.171 eV per atom.

a = 4.433 Å, b = 4.433 Å, c = 4.433 Å
α = 60.00°, β = 60.00°, γ = 60.00°
Fractional coordinates of all 4 atoms:
Cr 0.000 0.000 0.000
W 0.250 0.250 0.250
Au 0.500 0.500 0.500
Au 0.750 0.750 0.750


Below is a crystal of CrWAu2 relaxed with PBEsol, with properties calculated at the SCAN level.

Calculated values
Its space group is No. 119. The energy relative to the elements is 0.316 eV/atom. The value obtained for the relative energy among the computed polymorphs is 0.005 eV per atom.

a = 4.775 Å, b = 4.775 Å, c = 4.775 Å
α = 131.02°, β = 131.02°, γ = 71.78°
Fractional coordinates of all 4 atoms:
Cr 0.000 0.000 0.000
W 0.750 0.250 0.500
Au 0.250 0.750 0.500
Au 0.500 0.500 0.000


Below is a crystal of Y2CrAu relaxed with PBEsol, with properties calculated at the SCAN level.

Calculated values
Its space group is No. 38. The energy relative to the elements is -0.481 eV/atom. The value obtained for the relative energy among the computed polymorphs is 0.000 eV per atom.

a = 4.586 Å, b = 5.685 Å, c = 5.685 Å
α = 37.63°, β = 90.00°, γ = 90.00°
Fractional coordinates of all 4 atoms:
Y 0.000 0.000 0.000
Y 0.500 0.296 0.296
Cr 0.500 0.575 0.575
Au 0.000 0.720 0.720